CaNiHgF6 | GGA+U | relaxed

Properties
As for the density of states at the Fermi level: 0.0000 states/eV/atom. As for the calculated total energy: -4.26 eV per atom.

a b c (Å): 5.6797 5.6797 9.4677
angles (deg): 90.00 90.00 120.00
Element x y z (fractional)
Ca (0.3333, 0.6667, 0.2500)
Ca (0.6667, 0.3333, 0.7500)
Ni (0.3333, 0.6667, 0.7500)
Ni (0.6667, 0.3333, 0.2500)
Hg (0.0000, 0.0000, 0.0000)
Hg (0.0000, 0.0000, 0.5000)
F (0.0316, 0.3658, 0.6336)
F (0.0316, 0.6658, 0.8664)
F (0.3342, 0.3658, 0.8664)
F (0.3342, 0.9684, 0.6336)
F (0.3658, 0.0316, 0.1336)
F (0.3658, 0.3342, 0.3664)
F (0.6342, 0.6658, 0.6336)
F (0.6342, 0.9684, 0.8664)
F (0.6658, 0.0316, 0.3664)
F (0.6658, 0.6342, 0.1336)
F (0.9684, 0.3342, 0.1336)
F (0.9684, 0.6342, 0.3664)